Entry 1:
Material: YMgCu
Method: DFT, GGA-PBE
State: relaxed

It has space group C2/m (No. 12), with a = 6.508 Å, b = 6.468 Å, c = 6.962 Å, α = 90.00°, β = 110.28° and γ = 90.00°. The distinct sites, in fractional coordinates, are Y at (0.106, 0.000, 0.286), Mg at (0.081, 0.500, 0.227) and Cu at (0.250, 0.250, 0.000).

The total energy comes out at -4.095 eV/atom. Its energy above the most stable polymorph in this dataset is 0.1757 eV per atom. For the formation enthalpy at 0 K, the calculation gives -0.0434 eV per atom.

=====

Entry 2:
Material: NaThBi
Method: DFT, GGA-PBE
State: relaxed

It has space group Pnma (No. 62), with a = 18.690 Å, b = 4.472 Å, c = 4.472 Å, α = 90.00°, β = 90.00° and γ = 90.00°. The distinct sites, in fractional coordinates, are Na at (0.000, 0.250, 0.250), Th at (0.188, 0.250, 0.749) and Bi at (0.133, 0.750, 0.249).

The total energy comes out at -4.561 eV/atom. For the formation enthalpy at 0 K, the calculation gives -0.3541 eV per atom.

=====

Entry 3:
Material: K2LiSnHg6
Method: DFT, GGA-PBE
State: relaxed

It has space group P-1 (No. 2), with a = 6.443 Å, b = 7.656 Å, c = 7.800 Å, α = 75.04°, β = 66.58° and γ = 65.72°. The distinct sites, in fractional coordinates, are K at (0.233, 0.228, 0.303), Li at (0.000, 0.000, 0.000), Sn at (0.500, 0.500, 0.500), Hg at (0.235, 0.775, 0.241), Hg at (0.245, 0.625, 0.895) and Hg at (0.259, 0.220, 0.773).

The total energy comes out at -1.160 eV/atom. For the formation enthalpy at 0 K, the calculation gives -0.1674 eV per atom.

=====

Entry 4:
Material: Co3RuS
Method: DFT, GGA-PBE
State: relaxed

It has space group Pm-3m (No. 221), with a = 4.096 Å, b = 4.096 Å, c = 4.096 Å, α = 90.00°, β = 90.00° and γ = 90.00°. The distinct sites, in fractional coordinates, are Co at (0.000, 0.000, 0.500), Ru at (0.500, 0.500, 0.500) and S at (0.000, 0.000, 0.000).

The total energy comes out at -6.427 eV/atom. Its energy above the most stable polymorph in this dataset is 0.0000 eV per atom. The value obtained for the formation energy without anion corrections is 0.517 eV per atom.

=====

Entry 5:
Material: Ca8TlGa2
Method: DFT, GGA-PBE
State: relaxed

It has space group C2/m (No. 12), with a = 18.607 Å, b = 5.355 Å, c = 7.569 Å, α = 90.00°, β = 110.94° and γ = 90.00°. The distinct sites, in fractional coordinates, are Ca at (0.030, 0.000, 0.281), Ca at (0.099, 0.500, 0.960), Ca at (0.172, 0.500, 0.459), Ca at (0.196, 0.000, 0.802), Tl at (0.000, 0.500, 0.500) and Ga at (0.180, 0.000, 0.191).

The total energy comes out at -2.521 eV/atom. Its energy above the most stable polymorph in this dataset is 0.0000 eV per atom. For the formation enthalpy at 0 K, the calculation gives -0.2997 eV per atom.

=====

Entry 6:
Material: PaGa2Au4
Method: DFT, GGA-PBE
State: relaxed

It has space group Pnma (No. 62), with a = 17.707 Å, b = 4.518 Å, c = 6.778 Å, α = 90.00°, β = 90.00° and γ = 90.00°. The distinct sites, in fractional coordinates, are Pa at (0.137, 0.250, 0.001), Ga at (0.041, 0.750, 0.227), Ga at (0.219, 0.250, 0.509), Au at (0.036, 0.750, 0.815), Au at (0.072, 0.250, 0.509), Au at (0.185, 0.750, 0.295) and Au at (0.190, 0.750, 0.717).

The total energy comes out at -4.416 eV/atom. Its energy above the most stable polymorph in this dataset is 0.0000 eV per atom. For the formation enthalpy at 0 K, the calculation gives -0.3216 eV per atom.

=====

Entry 7:
Material: Cu2AgHAu
Method: DFT, GGA-PBE
State: relaxed

It has space group P4/mmm (No. 123), with a = 3.929 Å, b = 3.929 Å, c = 3.954 Å, α = 90.00°, β = 90.00° and γ = 90.00°. The distinct sites, in fractional coordinates, are Cu at (0.000, 0.500, 0.000), Ag at (0.000, 0.000, 0.500), H at (0.000, 0.000, 0.000) and Au at (0.500, 0.500, 0.500).

The total energy comes out at -3.400 eV/atom. Its energy above the most stable polymorph in this dataset is 0.0000 eV per atom.

=====

Entry 8:
Material: ZnGaHPd2
Method: DFT, GGA-PBE
State: relaxed

It has space group P4/mmm (No. 123), with a = 4.030 Å, b = 4.030 Å, c = 3.846 Å, α = 90.00°, β = 90.00° and γ = 90.00°. The distinct sites, in fractional coordinates, are Zn at (0.000, 0.000, 0.000), Ga at (0.500, 0.500, 0.000), H at (0.000, 0.000, 0.500) and Pd at (0.000, 0.500, 0.500).

The total energy comes out at -3.857 eV/atom.

=====

Entry 9:
Material: AlCdBr2
Method: DFT, GGA-PBE
State: relaxed

It has space group P4/mmm (No. 123), with a = 3.812 Å, b = 3.812 Å, c = 7.317 Å, α = 90.00°, β = 90.00° and γ = 90.00°. The distinct sites, in fractional coordinates, are Al at (0.000, 0.000, 0.000), Cd at (0.000, 0.000, 0.500) and Br at (0.500, 0.500, 0.251).

The total energy comes out at -2.118 eV/atom. Its energy above the most stable polymorph in this dataset is 0.3667 eV per atom. The value obtained for the formation energy without anion corrections is -0.118 eV per atom.

=====

Entry 10:
Material: SbIrOs2
Method: DFT, GGA-PBE
State: relaxed

It has space group Pm (No. 6), with a = 2.894 Å, b = 3.840 Å, c = 5.821 Å, α = 90.00°, β = 90.81° and γ = 90.00°. The distinct sites, in fractional coordinates, are Sb at (0.000, 0.000, 0.000), Ir at (0.504, 0.500, 0.747), Os at (0.488, 0.500, 0.290) and Os at (0.993, 0.000, 0.489).

The total energy comes out at -8.405 eV/atom. The value obtained for the formation energy without anion corrections is 0.456 eV per atom.

=====

Entry 11:
Material: SrNiN2Cl
Method: DFT, GGA-PBE
State: relaxed

It has space group P4/mmm (No. 123), with a = 4.409 Å, b = 4.409 Å, c = 3.958 Å, α = 90.00°, β = 90.00° and γ = 90.00°. The distinct sites, in fractional coordinates, are Sr at (0.000, 0.000, 0.000), Ni at (0.500, 0.500, 0.000), N at (0.000, 0.500, 0.500) and Cl at (0.500, 0.500, 0.500).

The total energy comes out at -3.967 eV/atom. The value obtained for the formation energy without anion corrections is 1.226 eV per atom.

=====

Entry 12:
Material: ErPu2Hg6
Method: DFT, GGA-PBE
State: relaxed

It has space group R-3m (No. 166, hexagonal axes), with a = 8.7509 Å, b = 8.7509 Å, c = 9.9120 Å, α = 90.00°, β = 90.00° and γ = 120.00°. The distinct sites, in fractional coordinates, are Er at (0.0000, 0.0000, 0.0000), Pu at (0.0000, 0.0000, 0.3397) and Hg at (0.0000, 0.3351, 0.5000).

The total energy comes out at -4.113 eV/atom. For the formation enthalpy at 0 K, the calculation gives -0.2195 eV per atom.

=====

Copy entry 8 word for word.
Material: ZnGaHPd2
Method: DFT, GGA-PBE
State: relaxed

It has space group P4/mmm (No. 123), with a = 4.030 Å, b = 4.030 Å, c = 3.846 Å, α = 90.00°, β = 90.00° and γ = 90.00°. The distinct sites, in fractional coordinates, are Zn at (0.000, 0.000, 0.000), Ga at (0.500, 0.500, 0.000), H at (0.000, 0.000, 0.500) and Pd at (0.000, 0.500, 0.500).

The total energy comes out at -3.857 eV/atom.

=====

Question: What is the formula in the second record?
Answer: NaThBi